1.
# LiHgPb3 (PBE, relaxed)
# Total magnetization: 0.00 μB per atom
# Distance to the lowest polymorph of the same formula: 0.081 eV/f.u.
# DOS at the Fermi energy: 0.389 states/eV per atom
# Density: 10.0 g/cm3
# DFT formation energy: -66 meV per atom
data_LiHgPb3
_symmetry_space_group_name_H-M 'P 1 21/c 1'
_symmetry_Int_Tables_number 14
_cell_length_a 9.3284
_cell_length_b 6.5896
_cell_length_c 11.1180
_cell_angle_alpha 90.00
_cell_angle_beta 126.38
_cell_angle_gamma 90.00
loop_
_symmetry_equiv_pos_as_xyz
'x,y,z'
'-x,-y,-z'
'-x,y+1/2,-z+1/2'
'x,-y+1/2,z+1/2'
loop_
_atom_site_label
_atom_site_type_symbol
_atom_site_fract_x
_atom_site_fract_y
_atom_site_fract_z
Li1 Li 0.1809 0.0322 0.0039
Hg1 Hg 0.3904 0.7252 0.4788
Pb1 Pb 0.1163 0.6688 0.1404
Pb2 Pb 0.1678 0.1722 0.2696
Pb3 Pb 0.4481 0.1213 0.6903

***

2.
# LiHg4Pb2 (PBE, relaxed)
# Total magnetization: 0.00 μB per atom
# Distance to the lowest polymorph of the same formula: 0.860 eV/f.u.
# DOS at the Fermi energy: 0.463 states/eV per atom
# Density: 9.9 g/cm3
# DFT formation energy: 55 meV per atom
data_LiHg4Pb2
_symmetry_space_group_name_H-M 'I 4/m m m'
_symmetry_Int_Tables_number 139
_symmetry_space_group_name_Hall '-I 4 2'
_cell_length_a 5.1951
_cell_length_b 5.1951
_cell_length_c 15.2270
_cell_angle_alpha 90.00
_cell_angle_beta 90.00
_cell_angle_gamma 90.00
loop_
_atom_site_label
_atom_site_type_symbol
_atom_site_fract_x
_atom_site_fract_y
_atom_site_fract_z
Li1 Li 0.0000 0.0000 0.0000
Hg1 Hg 0.0000 0.0000 0.1787
Hg2 Hg 0.0000 0.5000 0.0000
Pb1 Pb 0.0000 0.0000 0.3792

***

3.
# Li6HgPb (PBE, relaxed)
# Total magnetization: 0.00 μB per atom
# Distance to the lowest polymorph of the same formula: 0.228 eV/f.u.
# DOS at the Fermi energy: 0.412 states/eV per atom
# Density: 5.0 g/cm3
# DFT formation energy: -275 meV per atom
data_Li6HgPb
_symmetry_space_group_name_H-M 'A m m 2'
_symmetry_Int_Tables_number 38
_cell_length_a 4.8615
_cell_length_b 5.9742
_cell_length_c 10.3106
_cell_angle_alpha 90.00
_cell_angle_beta 90.00
_cell_angle_gamma 90.00
loop_
_symmetry_equiv_pos_as_xyz
'x,y,z'
'-x,-y,z'
'-x,y,z'
'x,-y,z'
'x,y+1/2,z+1/2'
'-x,-y+1/2,z+1/2'
'-x,y+1/2,z+1/2'
'x,-y+1/2,z+1/2'
loop_
_atom_site_label
_atom_site_type_symbol
_atom_site_fract_x
_atom_site_fract_y
_atom_site_fract_z
Li1 Li 0.0000 0.0000 0.0000
Li2 Li 0.0000 0.2397 0.7600
Li3 Li 0.5000 0.0000 0.3415
Li4 Li 0.5000 0.2459 0.5882
Hg1 Hg 0.0000 0.0000 0.5064
Pb1 Pb 0.5000 0.0000 0.8396

***

4.
# Li6Hg12Pb (PBE, relaxed)
# Total magnetization: 0.00 μB per atom
# DOS at the Fermi energy: 0.548 states/eV per atom
# Density: 9.9 g/cm3
# DFT formation energy: -155 meV per atom
data_Li6Hg12Pb
_symmetry_space_group_name_H-M 'R -3 m'
_symmetry_Int_Tables_number 166
_symmetry_space_group_name_Hall '-R 3 2"'
_cell_length_a 12.9927
_cell_length_b 12.9927
_cell_length_c 9.1105
_cell_angle_alpha 90.00
_cell_angle_beta 90.00
_cell_angle_gamma 120.00
loop_
_atom_site_label
_atom_site_type_symbol
_atom_site_fract_x
_atom_site_fract_y
_atom_site_fract_z
Li1 Li 0.0576 0.5288 0.2395
Hg1 Hg 0.0000 0.3834 0.5000
Hg2 Hg 0.0822 0.1645 0.3023
Pb1 Pb 0.0000 0.0000 0.0000